(1)
Density functional theory data (PBE) for Sm2ThCr2C4 after structural relaxation.

abc: 3.5179 6.9781 6.1534
angles: 109.49 90.00 104.60
Element x y z (fractional)
C  0.5513  0.1026  0.7569
C  0.7846  0.5693  0.8254
C  0.4487  0.8974  0.2431
C  0.2154  0.4307  0.1746
Sm  0.8625  0.7249  0.4518
Sm  0.1375  0.2751  0.5482
Th  0.0000  0.0000  0.0000
Cr  0.6839  0.3678  0.9916
Cr  0.3161  0.6322  0.0084

Calculated values
SG = C2/m
D(E_F) = 7.4 states/eV/f.u.
Formation energy = -0.04 eV/atom

---

(2)
Density functional theory data (PBE) for Ac2ErGeO6 after structural relaxation.

abc: 6.0011 5.9451 5.9822
angles: 60.39 59.43 90.45
Element x y z (fractional)
O  0.6846  0.8062  0.9971
O  0.8051  0.6849  0.5126
O  0.1949  0.3151  0.4874
O  0.3154  0.1938  0.0029
O  0.7451  0.2560  0.1031
O  0.2549  0.7440  0.8969
Ac  0.2479  0.7517  0.4834
Ac  0.7521  0.2483  0.5166
Ge  0.5000  0.5000  0.0000
Er  0.0000  0.0000  0.0000

Calculated values
SG = P-1
Raw formation energy = -2.812 eV per atom
D(E_F) = 3.3 states/eV/f.u.

---

(3)
Density functional theory data (PBE) for Pm4Dy5Y3 after structural relaxation.

abc: 5.9248 8.6067 9.7054
angles: 105.51 72.23 69.87
Element x y z (fractional)
Dy  0.5000  0.5000  0.5000
Dy  0.3703  0.0585  0.2008
Dy  0.6297  0.9415  0.7992
Dy  0.2139  0.4579  0.1143
Dy  0.7861  0.5421  0.8857
Pm  0.1374  0.7788  0.9463
Pm  0.8626  0.2212  0.0537
Pm  0.1656  0.0497  0.6191
Pm  0.8344  0.9503  0.3809
Y  0.0000  0.5000  0.5000
Y  0.5229  0.6881  0.2661
Y  0.4771  0.3119  0.7339

Calculated values
SG = C2/m
D(E_F) = 20.0 states/eV/f.u.
Formation energy = 0.23 eV/atom

---

(4)
Density functional theory data (PBE) for ScTiV after structural relaxation.

abc: 3.3276 3.3276 5.4538
angles: 107.76 107.76 90.00
Element x y z (fractional)
Ti  0.5827  0.5827  0.1655
Sc  0.2869  0.2869  0.5738
V  0.9804  0.9804  0.9607

Calculated values
SG = I4mm
Energy above the most stable polymorph in this dataset = 0.0000 eV per atom
D(E_F) = 4.6 states/eV/f.u.
Formation energy = 0.14 eV/atom

---

(5)
Density functional theory data (PBE) for Ce2ReCl after structural relaxation.

abc: 3.4481 3.4481 9.0970
angles: 79.08 79.08 60.00
Element x y z (fractional)
Ce  0.7450  0.7450  0.7650
Ce  0.2550  0.2550  0.2350
Cl  0.5000  0.5000  0.5000
Re  0.0000  0.0000  0.0000

Calculated values
SG = R-3m
Raw formation energy = -0.416 eV per atom
Energy above the most stable polymorph in this dataset = 0.2287 eV per atom
D(E_F) = 7.9 states/eV/f.u.

---

(6)
Density functional theory data (PBE) for La2Cu4SnGe3 after structural relaxation.

abc: 4.3075 4.3075 10.3797
angles: 90.00 90.00 90.00
Element x y z (fractional)
Ge  0.5000  0.0000  0.8760
Ge  0.0000  0.5000  0.1240
Ge  0.0000  0.0000  0.5000
Cu  0.5000  0.0000  0.6430
Cu  0.0000  0.5000  0.3570
Cu  0.5000  0.5000  0.0000
Cu  0.0000  0.0000  0.0000
La  0.0000  0.5000  0.7658
La  0.5000  0.0000  0.2342
Sn  0.5000  0.5000  0.5000

Calculated values
SG = P-4m2
D(E_F) = 3.8 states/eV/f.u.
Formation energy = -0.52 eV/atom

---

(7)
Density functional theory data (PBE) for TePbAu2 after structural relaxation.

abc: 4.1805 5.6157 4.2054
angles: 90.00 90.00 90.00
Element x y z (fractional)
Pb  0.5000  0.0000  0.5000
Te  0.0000  0.5000  0.5000
Au  0.5000  0.5000  0.0000
Au  0.0000  0.0000  0.0000

Calculated values
SG = Pmmm
Raw formation energy = 0.076 eV per atom
Energy above the most stable polymorph in this dataset = 0.1237 eV per atom
D(E_F) = 2.3 states/eV/f.u.

---

(8)
Density functional theory data (PBE) for BPN2 after structural relaxation.

abc: 3.5056 3.5056 3.5056
angles: 60.00 60.00 60.00
Element x y z (fractional)
N  0.2500  0.2500  0.2500
N  0.7500  0.7500  0.7500
P  0.5000  0.5000  0.5000
B  0.0000  0.0000  0.0000

Calculated values
SG = Fm-3m
Raw formation energy = 2.192 eV per atom
Energy above the most stable polymorph in this dataset = 1.8831 eV per atom
D(E_F) = 1.2 states/eV/f.u.

---

(9)
Density functional theory data (PBE) for NaLuAgSn after structural relaxation.

abc: 5.1093 5.1093 5.1093
angles: 60.00 60.00 60.00
Element x y z (fractional)
Lu  0.2500  0.2500  0.2500
Na  0.7500  0.7500  0.7500
Ag  0.5000  0.5000  0.5000
Sn  0.0000  0.0000  0.0000

Calculated values
SG = F-43m
D(E_F) = 2.1 states/eV/f.u.
Formation energy = -0.28 eV/atom

---

(10)
Density functional theory data (PBE) for Na2VH4 after structural relaxation.

abc: 3.6780 3.6780 6.4135
angles: 106.66 106.66 90.00
Element x y z (fractional)
Na  0.3509  0.3509  0.7019
Na  0.6491  0.6491  0.2981
H  0.8420  0.8420  0.6840
H  0.5000  0.0000  0.0000
H  0.0000  0.5000  0.0000
H  0.1580  0.1580  0.3160
V  0.0000  0.0000  0.0000

Calculated values
Calculated total energy = -26.028 eV per cell
SG = I4/mmm
D(E_F) = 1.1 states/eV/f.u.

---

(11)
Density functional theory data (PBE) for Tb3Nd3YZn2 after structural relaxation.

abc: 3.6178 9.2058 9.2058
angles: 120.00 90.00 90.00
Element x y z (fractional)
Nd  0.5000  0.0000  0.6838
Nd  0.5000  0.3162  0.3162
Nd  0.5000  0.6838  0.0000
Zn  0.5000  0.6667  0.3333
Zn  0.5000  0.3333  0.6667
Tb  0.0000  0.3730  0.0000
Tb  0.0000  0.0000  0.3730
Tb  0.0000  0.6270  0.6270
Y  0.0000  0.0000  0.0000

Calculated values
SG = P-62m
D(E_F) = 13.7 states/eV/f.u.
Formation energy = 0.00 eV/atom

---

(12)
Density functional theory data (PBE) for Rb2TlCuI4 after structural relaxation.

abc: 4.8653 10.0048 18.2340
angles: 90.00 90.00 104.07
Element x y z (fractional)
I  0.3734  0.7468  0.7500
I  0.7385  0.4769  0.6224
I  0.6266  0.2532  0.2500
I  0.0000  0.0000  0.5000
I  0.7385  0.4769  0.8776
I  0.2615  0.5231  0.3776
I  0.2615  0.5231  0.1224
I  0.0000  0.0000  0.0000
Rb  0.3748  0.7497  0.5483
Rb  0.3748  0.7497  0.9517
Rb  0.6252  0.2503  0.4517
Rb  0.6252  0.2503  0.0483
Cu  0.8051  0.6101  0.7500
Cu  0.1949  0.3899  0.2500
Tl  0.1892  0.3784  0.7500
Tl  0.8108  0.6216  0.2500

Calculated values
SG = Cmcm
Raw formation energy = -0.900 eV per atom
D(E_F) = 0.0 states/eV/f.u.

---

(13)
Density functional theory data (PBE) for Ho2Er5Tm5 after structural relaxation.

abc: 4.9372 7.8090 11.0490
angles: 115.07 90.00 108.43
Element x y z (fractional)
Tm  0.5835  0.1669  0.2500
Tm  0.5000  0.0000  0.5000
Tm  0.6669  0.3337  0.0003
Tm  0.4165  0.8331  0.7500
Tm  0.3331  0.6663  0.9997
Er  0.7504  0.5009  0.7505
Er  0.1665  0.3330  0.4998
Er  0.8335  0.6670  0.5002
Er  0.0000  0.0000  0.0000
Er  0.2496  0.4991  0.2495
Ho  0.9169  0.8338  0.2499
Ho  0.0831  0.1662  0.7501

Calculated values
SG = C2/m
D(E_F) = 15.6 states/eV/f.u.
Formation energy = 0.02 eV/atom

---

(14)
Density functional theory data (PBE) for Mg2PaInIr2 after structural relaxation.

abc: 4.0425 7.0835 8.5098
angles: 90.00 90.00 90.00
Element x y z (fractional)
Ir  0.5000  0.2467  0.3959
Ir  0.5000  0.7467  0.6041
Ir  0.0000  0.7826  0.1349
Ir  0.0000  0.2826  0.8651
Mg  0.5000  0.5536  0.9226
Mg  0.5000  0.0536  0.0774
Mg  0.0000  0.3679  0.1737
Mg  0.0000  0.8679  0.8263
In  0.5000  0.6247  0.2959
In  0.5000  0.1247  0.7041
Pa  0.0000  0.9701  0.4110
Pa  0.0000  0.4701  0.5890

Calculated values
SG = Pmc2_1
D(E_F) = 3.7 states/eV/f.u.
Formation energy = -0.48 eV/atom

---

(15)
Density functional theory data (PBE) for CdGaMo3 after structural relaxation.

abc: 4.6327 4.6327 4.6327
angles: 90.00 90.00 90.00
Element x y z (fractional)
Mo  0.0000  0.5000  0.0000
Mo  0.0000  0.0000  0.5000
Mo  0.5000  0.0000  0.0000
Ga  0.0000  0.0000  0.0000
Cd  0.5000  0.5000  0.5000

Calculated values
SG = Pm-3m
Energy above the most stable polymorph in this dataset = 0.0000 eV per atom
D(E_F) = 6.2 states/eV/f.u.
Formation energy = 1.42 eV/atom

---

(16)
Density functional theory data (PBE) for Al2TcPt after structural relaxation.

abc: 2.7604 2.7604 7.9474
angles: 90.00 90.00 90.00
Element x y z (fractional)
Tc  0.5000  0.5000  0.7496
Al  0.5000  0.5000  0.2636
Al  0.0000  0.0000  0.9888
Pt  0.0000  0.0000  0.4979

Calculated values
SG = P4mm
D(E_F) = 3.4 states/eV/f.u.
Formation energy = -0.29 eV/atom

---

(17)
Density functional theory data (PBE) for FeHgAu3 after structural relaxation.

abc: 5.1743 5.1743 5.1743
angles: 90.00 90.00 90.00
Element x y z (fractional)
Au  0.0000  0.5000  0.0000
Au  0.0000  0.0000  0.5000
Au  0.5000  0.0000  0.0000
Fe  0.5000  0.5000  0.5000
Hg  0.0000  0.0000  0.0000

Calculated values
SG = Pm-3m
Energy above the most stable polymorph in this dataset = 0.5686 eV per atom
D(E_F) = 14.3 states/eV/f.u.
Formation energy = 1.23 eV/atom

---

(18)
Density functional theory data (PBE) for Pm4Nd2Tl3H2 after structural relaxation.

abc: 4.8766 4.8766 13.1137
angles: 100.72 100.72 90.00
Element x y z (fractional)
Pm  0.4158  0.9158  0.8315
Pm  0.5842  0.0842  0.1685
Pm  0.9158  0.4158  0.8315
Pm  0.0842  0.5842  0.1685
Tl  0.0000  0.0000  0.0000
Tl  0.8268  0.8268  0.6536
Tl  0.1732  0.1732  0.3464
Nd  0.3011  0.3011  0.6021
Nd  0.6989  0.6989  0.3979
H  0.6026  0.6026  0.2052
H  0.3974  0.3974  0.7948

Calculated values
Calculated total energy = -45.642 eV per cell
SG = I4/mmm
D(E_F) = 9.6 states/eV/f.u.

---

(19)
Density functional theory data (PBE) for TbRh after structural relaxation.

abc: 3.3822 3.4737 3.4737
angles: 89.98 90.01 90.01
Element x y z (fractional)
Tb  0.5000  0.5000  0.0000
Rh  0.0000  0.0000  0.5000

Calculated values
SG = P4/mmm
D(E_F) = 0.8 states/eV/f.u.
Formation energy = -0.84 eV/atom

---

(20)
Density functional theory data (PBE) for KRe2Ni after structural relaxation.

abc: 4.5011 4.5011 4.5011
angles: 60.00 60.00 60.00
Element x y z (fractional)
Re  0.0000  0.0000  0.0000
Re  0.2500  0.2500  0.2500
K  0.5000  0.5000  0.5000
Ni  0.7500  0.7500  0.7500

Calculated values
SG = F-43m
Energy above the most stable polymorph in this dataset = 0.6965 eV per atom
D(E_F) = 3.5 states/eV/f.u.
Formation energy = 1.39 eV/atom